1.
A plane-wave DFT calculation with PBE was carried out for Na12Tl7In after structural relaxation.

- D(E_F): 10.10 states/eV per cell
- Magnetization: 0.000 μB/cell
- E: -1.841 eV per atom

The structure in POSCAR format:
```
Na12Tl7In
1.0
7.354 4.246 3.324
-7.354 4.246 3.324
0.000 -8.492 3.324
Na Tl In
12 7 1
direct
0.005 0.309 0.861 Na
0.139 0.995 0.691 Na
0.183 0.466 0.639 Na
0.309 0.861 0.005 Na
0.361 0.817 0.534 Na
0.466 0.639 0.183 Na
0.534 0.361 0.817 Na
0.639 0.183 0.466 Na
0.691 0.139 0.995 Na
0.817 0.534 0.361 Na
0.861 0.005 0.309 Na
0.995 0.691 0.139 Na
0.000 0.000 0.000 Tl
0.114 0.398 0.256 Tl
0.256 0.114 0.398 Tl
0.398 0.256 0.114 Tl
0.602 0.744 0.886 Tl
0.744 0.886 0.602 Tl
0.886 0.602 0.744 Tl
0.500 0.500 0.500 In
```

=====

2.
A plane-wave DFT calculation with PBE was carried out for Y2Be3GaNi12 after structural relaxation.

- D(E_F): 12.27 states/eV per cell
- Magnetization: 0.000 μB/cell
- E: -5.185 eV per atom

The structure in POSCAR format:
```
Y2Be3GaNi12
1.0
3.696 2.134 5.384
-3.696 2.134 5.384
0.000 -4.267 5.384
Y Be Ga Ni
2 3 1 12
direct
0.104 0.104 0.104 Y
0.896 0.896 0.896 Y
0.000 0.500 0.500 Be
0.500 0.000 0.500 Be
0.500 0.500 0.000 Be
0.500 0.500 0.500 Ga
0.113 0.635 0.635 Ni
0.157 0.157 0.592 Ni
0.157 0.592 0.157 Ni
0.365 0.365 0.887 Ni
0.365 0.887 0.365 Ni
0.408 0.843 0.843 Ni
0.592 0.157 0.157 Ni
0.635 0.113 0.635 Ni
0.635 0.635 0.113 Ni
0.843 0.408 0.843 Ni
0.843 0.843 0.408 Ni
0.887 0.365 0.365 Ni
```

=====

3.
A plane-wave DFT calculation with PBE was carried out for ZrBiMo2Au after structural relaxation.

- D(E_F): 7.02 states/eV per cell
- Magnetization: 0.000 μB/cell
- E: -5.978 eV per atom

The structure in POSCAR format:
```
ZrBiMo2Au
1.0
4.847 0.000 0.000
0.000 4.847 0.000
0.000 0.000 5.302
Zr Bi Mo Au
1 1 2 1
direct
0.000 0.000 0.000 Zr
0.500 0.500 0.500 Bi
0.000 0.500 0.000 Mo
0.500 0.000 0.000 Mo
0.000 0.000 0.500 Au
```